## KRb2TaBr6 (GGA-PBE)

Data for an optimized crystal structure of KRb2TaBr6.

Summary:
* volume: 1522.8 Å³/cell
* density: 3.80 Mg/m³
* ΔE_f (raw): -122.2 kJ/mol of atoms

Cell: 11.5049 11.5049 11.5049 Å, 90.00 90.00 90.00°
Closest atoms and distances in Å follow each position.
Space group Fm-3m (No. 225)
Inequivalent atoms, fractional coordinates:
K 0.0000 0.0000 0.0000  6 Br 3.12
Rb 0.2500 0.2500 0.2500  12 Br 4.08
Ta 0.0000 0.0000 0.5000  6 Br 2.63
Br 0.0000 0.0000 0.2715  1 Ta 2.63